Entry 1:
Material: CsLiNp2O8
Method: DFT, PBE-GGA
State: optimized geometry

Computed properties:
- Formation energy from raw total energies: -2.305 eV per atom
- Density: 5.86 g cm⁻³

Lattice parameters (Å, degrees): 5.827 5.827 7.145 90.00 90.00 120.00
Element x y z (fractional)
O 0.333 0.667 0.678
O 0.376 0.317 0.882
O 0.941 0.624 0.882
O 0.317 0.941 0.118
O 0.683 0.059 0.882
O 0.059 0.376 0.118
O 0.624 0.683 0.118
O 0.667 0.333 0.322
Cs 0.000 0.000 0.500
Np 0.333 0.667 0.939
Np 0.667 0.333 0.061
Li 0.000 0.000 0.000


Entry 2:
Material: Cs3LiNp2S6
Method: DFT, PBE-GGA
State: optimized geometry

Computed properties:
- DOS at the Fermi energy: 15.604 states/eV/f.u.
- Formation energy from raw total energies: -1.303 eV per atom
- Density: 5.09 g cm⁻³

Lattice parameters (Å, degrees): 7.114 7.114 8.324 98.05 98.05 120.14
Each line ends with the local moment (μB).
Element x y z (fractional)
S 0.292 0.292 0.825  -0.10
S 0.586 0.940 0.820  -0.10
S 0.414 0.060 0.180  -0.10
S 0.060 0.414 0.180  -0.10
S 0.708 0.708 0.175  -0.10
S 0.940 0.586 0.820  -0.10
Li 0.000 0.000 0.000  0.00
Cs 0.500 0.500 0.500  0.00
Cs 0.841 0.159 0.500  0.00
Cs 0.159 0.841 0.500  0.00
Np 0.667 0.333 0.000  3.29
Np 0.333 0.667 0.000  3.29


Entry 3:
Material: Cs2LiNp3S8
Method: DFT, PBE-GGA
State: optimized geometry

Computed properties:
- DOS at the Fermi energy: 24.084 states/eV/f.u.
- Formation energy from raw total energies: -1.293 eV per atom
- Density: 4.40 g cm⁻³

Lattice parameters (Å, degrees): 7.969 7.969 9.676 65.68 65.68 60.00
Each line ends with the local moment (μB).
Element x y z (fractional)
S 0.219 0.693 0.869  0.12
S 0.219 0.219 0.869  0.12
S 0.269 0.269 0.194  0.11
S 0.712 0.712 0.863  0.12
S 0.693 0.219 0.869  0.12
S 0.759 0.759 0.196  0.13
S 0.759 0.285 0.196  0.13
S 0.285 0.759 0.196  0.13
Np 0.491 0.491 0.031  -3.04
Np 0.491 0.987 0.031  -3.04
Np 0.987 0.491 0.031  -3.04
Li 0.980 0.980 0.061  0.00
Cs 0.137 0.137 0.588  0.01
Cs 0.490 0.490 0.530  0.00


Entry 4:
Material: CsLi3Np2S6
Method: DFT, PBE-GGA
State: optimized geometry

Computed properties:
- DOS at the Fermi energy: 14.273 states/eV/f.u.
- Formation energy from raw total energies: -1.290 eV per atom
- Density: 4.33 g cm⁻³

Lattice parameters (Å, degrees): 4.002 10.083 8.109 97.16 104.29 90.00
Each line ends with the local moment (μB).
Element x y z (fractional)
Cs 0.500 0.000 0.000  0.00
Np 0.830 0.649 0.660  3.27
Np 0.170 0.351 0.340  3.27
S 0.993 0.701 0.985  -0.10
S 0.339 0.461 0.677  -0.10
S 0.294 0.805 0.589  -0.10
S 0.661 0.539 0.323  -0.10
S 0.706 0.195 0.411  -0.10
S 0.007 0.299 0.015  -0.10
Li 0.145 0.692 0.290  0.00
Li 0.500 0.500 0.000  0.00
Li 0.855 0.308 0.710  0.00


Entry 5:
Material: CsLiNp2S4
Method: DFT, PBE-GGA
State: optimized geometry

Computed properties:
- DOS at the Fermi energy: 21.223 states/eV/f.u.
- Formation energy from raw total energies: -1.378 eV per atom
- Density: 6.14 g cm⁻³

Lattice parameters (Å, degrees): 4.111 7.211 14.121 90.00 90.00 106.56
Each line ends with the local moment (μB).
Element x y z (fractional)
Cs 0.105 0.210 0.750  0.00
Cs 0.895 0.790 0.250  0.00
Np 0.632 0.263 0.443  3.89
Np 0.368 0.737 0.943  3.89
Np 0.632 0.263 0.057  3.89
Np 0.368 0.737 0.557  3.89
S 0.409 0.818 0.750  -0.07
S 0.744 0.489 0.899  -0.09
S 0.256 0.511 0.101  -0.09
S 0.591 0.182 0.250  -0.07
S 0.000 0.000 0.500  -0.11
S 0.000 0.000 0.000  -0.11
S 0.744 0.489 0.601  -0.09
S 0.256 0.511 0.399  -0.09
Li 0.826 0.652 0.750  0.00
Li 0.174 0.348 0.250  0.00


Entry 6:
Material: CsLiNpS4
Method: DFT, PBE-GGA
State: optimized geometry

Computed properties:
- DOS at the Fermi energy: 5.306 states/eV/f.u.
- Formation energy from raw total energies: -1.027 eV per atom
- Density: 4.23 g cm⁻³

Lattice parameters (Å, degrees): 6.697 6.879 10.452 90.00 124.61 90.00
Each line ends with the local moment (μB).
Element x y z (fractional)
Cs 0.346 0.250 0.061  -0.01
Cs 0.654 0.750 0.939  -0.01
Li 0.792 0.250 0.652  -0.01
Li 0.208 0.750 0.348  -0.01
S 0.916 0.999 0.321  -0.13
S 0.586 0.750 0.589  -0.20
S 0.084 0.499 0.679  -0.13
S 0.084 0.001 0.679  -0.13
S 0.916 0.501 0.321  -0.13
S 0.384 0.750 0.203  -0.14
S 0.414 0.250 0.411  -0.20
S 0.616 0.250 0.797  -0.14
Np 0.794 0.750 0.457  1.90
Np 0.206 0.250 0.543  1.90


Entry 7:
Material: Cs3LiNp3S8
Method: DFT, PBE-GGA
State: optimized geometry

Computed properties:
- DOS at the Fermi energy: 27.786 states/eV/f.u.
- Formation energy from raw total energies: -1.308 eV per atom
- Density: 5.00 g cm⁻³

Lattice parameters (Å, degrees): 8.072 8.076 9.331 115.65 90.00 119.99
Each line ends with the local moment (μB).
Element x y z (fractional)
Np 0.500 0.500 0.500  3.29
Np 0.500 0.000 0.500  3.29
Np 0.000 0.500 0.500  3.29
Li 0.000 0.000 0.500  0.00
S 0.709 0.941 0.673  -0.12
S 0.232 0.941 0.673  -0.12
S 0.768 0.536 0.327  -0.12
S 0.768 0.059 0.327  -0.12
S 0.291 0.059 0.327  -0.12
S 0.273 0.547 0.320  -0.09
S 0.727 0.453 0.680  -0.09
S 0.232 0.464 0.673  -0.12
Cs 0.500 0.500 0.000  0.00
Cs 0.000 0.500 0.000  0.00
Cs 0.000 0.000 0.000  0.00


Entry 8:
Material: CsLiNpS3
Method: DFT, PBE-GGA
State: optimized geometry

Computed properties:
- DOS at the Fermi energy: 7.754 states/eV/f.u.
- Formation energy from raw total energies: -1.369 eV per atom
- Density: 4.58 g cm⁻³

Lattice parameters (Å, degrees): 4.112 9.239 9.665 110.87 90.00 90.00
Each line ends with the local moment (μB).
Element x y z (fractional)
Cs 0.250 0.218 0.262  0.00
Cs 0.750 0.782 0.738  0.00
Np 0.250 0.677 0.151  3.27
Np 0.750 0.323 0.849  3.27
S 0.750 0.197 0.560  -0.07
S 0.250 0.803 0.440  -0.07
S 0.750 0.480 0.146  -0.12
S 0.250 0.520 0.854  -0.12
S 0.750 0.860 0.135  -0.09
S 0.250 0.140 0.865  -0.09
Li 0.750 0.922 0.402  0.00
Li 0.250 0.078 0.598  0.00